# 1
Below is a relaxed Nb4CdAuC2 crystal, with properties calculated at the GGA-PBE level.

Cell: 3.1757 3.1757 14.3143 Å, 90.00 90.00 120.00°
With the nearest neighbours (Å) after each atom.
Positions (direct):
Nb (0.0000, 0.0000, 0.1606)  3 C 2.20
Nb (0.0000, 0.0000, 0.8394)  3 C 2.20
Nb (0.3333, 0.6667, 0.3273)  3 C 2.18
Nb (0.3333, 0.6667, 0.6727)  3 C 2.18
Cd (0.0000, 0.0000, 0.5000)  6 Nb 3.08, 6 Cd 3.18
Au (0.3333, 0.6667, 0.0000)  6 Nb 2.94, 6 Au 3.18
C (0.6667, 0.3333, 0.2449)  6 Nb 2.18-2.20
C (0.6667, 0.3333, 0.7551)  6 Nb 2.18-2.20

Computed properties:
- Space group: No. 187

# 2
Below is a relaxed Al11W2 crystal, with properties calculated at the GGA-PBE level.

Cell: 9.8373 9.8373 9.8373 Å, 29.91 29.91 29.91°
With the nearest neighbours (Å) after each atom.
Positions (direct):
Al (0.0000, 0.0000, 0.0000)  12 Al 2.70-2.96
Al (0.0875, 0.0875, 0.5842)  6 Al 2.52-2.82, 2 W 2.79
Al (0.0875, 0.5842, 0.0875)  6 Al 2.52-2.82, 2 W 2.79
Al (0.1658, 0.1658, 0.1658)  9 Al 2.82-2.93
Al (0.3489, 0.3489, 0.3489)  15 Al 2.96-3.13, 1 W 2.97
Al (0.4158, 0.9125, 0.9125)  6 Al 2.52-2.82, 2 W 2.79
Al (0.5842, 0.0875, 0.0875)  6 Al 2.52-2.82, 2 W 2.79
Al (0.6511, 0.6511, 0.6511)  15 Al 2.96-3.13, 1 W 2.97
Al (0.8342, 0.8342, 0.8342)  9 Al 2.82-2.93
Al (0.9125, 0.4158, 0.9125)  6 Al 2.52-2.82, 2 W 2.79
Al (0.9125, 0.9125, 0.4158)  6 Al 2.52-2.82, 2 W 2.79
W (0.4544, 0.4544, 0.4544)  1 W 2.57, 6 Al 2.79
W (0.5456, 0.5456, 0.5456)  1 W 2.57, 6 Al 2.79

Computed properties:
- Offset from the most stable computed form: 0.000 eV/atom
- Space group: No. 166

no.,V (Å³/atom),VASP energy (eV per cell)
1,15.63,-65.84
2,16.13,-66.42